# 1
CaTa2Cu (PBE, relaxed); SG = R-3m; polymorph energy (0 for the lowest one) = 302 meV per atom; VASP energy = -6.84 eV per atom; E_form = 0.611 eV per atom
1.0
1.472 0.850 10.191
-1.472 0.850 10.191
0.000 -1.700 10.191
Ca Ta Cu
1 2 1
Direct
0.000 0.000 0.000 Ca
0.239 0.239 0.239 Ta
0.761 0.761 0.761 Ta
0.500 0.500 0.500 Cu


# 2
CaTaCu (PBE, relaxed); SG = Cmcm; polymorph energy (0 for the lowest one) = 522 meV per atom; VASP energy = -5.27 eV per atom; E_form = 0.715 eV per atom
1.0
2.335 -4.074 0.000
2.335 4.074 0.000
0.000 0.000 6.154
Ca Ta Cu
2 2 2
Direct
0.000 0.000 0.000 Ca
0.000 0.000 0.500 Ca
0.332 0.668 0.750 Ta
0.668 0.332 0.250 Ta
0.335 0.665 0.250 Cu
0.665 0.335 0.750 Cu


# 3
CaTa2Cu (PBE, relaxed); SG = Imm2; polymorph energy (0 for the lowest one) = 320 meV per atom; VASP energy = -6.82 eV per atom; E_form = 0.629 eV per atom
1.0
-1.513 2.662 4.928
1.513 -2.662 4.928
1.513 2.662 -4.928
Ca Ta Cu
1 2 1
Direct
0.000 0.000 0.000 Ca
0.470 0.470 0.000 Ta
0.704 0.204 0.500 Ta
0.251 0.751 0.500 Cu


# 4
CaTa2Cu (PBE, relaxed); SG = P2/m; polymorph energy (0 for the lowest one) = 232 meV per atom; VASP energy = -6.91 eV per atom; E_form = 0.541 eV per atom
1.0
2.975 0.000 0.000
0.000 5.279 0.000
-0.769 0.000 4.986
Ca Ta Cu
1 2 1
Direct
0.000 0.000 0.000 Ca
0.289 0.500 0.734 Ta
0.711 0.500 0.266 Ta
0.500 0.000 0.500 Cu